Entry 1:
Ho2Zn2GaRh5 after structural relaxation, computed with GGA-PBE.

abc: 9.649 9.649 3.556
angles: 90.00 90.00 90.00
Element x y z (fractional)
Ho  0.172  0.328  0.000
Ho  0.328  0.828  0.000
Ho  0.672  0.172  0.000
Ho  0.828  0.672  0.000
Zn  0.127  0.627  0.000
Zn  0.373  0.127  0.000
Zn  0.627  0.873  0.000
Zn  0.873  0.373  0.000
Ga  0.000  0.000  0.000
Ga  0.500  0.500  0.000
Rh  0.000  0.500  0.500
Rh  0.066  0.802  0.500
Rh  0.198  0.066  0.500
Rh  0.302  0.566  0.500
Rh  0.434  0.302  0.500
Rh  0.500  0.000  0.500
Rh  0.566  0.698  0.500
Rh  0.698  0.434  0.500
Rh  0.802  0.934  0.500
Rh  0.934  0.198  0.500

**ΔE_f**: -0.641 eV/atom
**D(E_F)**: 12.0 states/eV/cell
**Space-group type**: P4/mbm, No. 127

Entry 2:
HoZnGaRh after structural relaxation, computed with GGA-PBE.

abc: 4.595 4.595 4.595
angles: 60.00 60.00 60.00
Element x y z (fractional)
Ho  0.000  0.000  0.000
Zn  0.750  0.750  0.750
Ga  0.250  0.250  0.250
Rh  0.500  0.500  0.500

**ΔE_f**: -0.542 eV/atom
**D(E_F)**: 3.5 states/eV/cell
**Space-group type**: F-43m, No. 216

Entry 3:
HoGa8Ru2 after structural relaxation, computed with GGA-PBE.

abc: 6.700 6.700 4.786
angles: 98.67 98.67 99.21
Element x y z (fractional)
Ho  0.000  0.000  0.000
Ga  0.097  0.352  0.605
Ga  0.295  0.705  0.000
Ga  0.352  0.097  0.605
Ga  0.372  0.372  0.243
Ga  0.628  0.628  0.757
Ga  0.648  0.903  0.395
Ga  0.705  0.295  0.000
Ga  0.903  0.648  0.395
Ru  0.283  0.717  0.500
Ru  0.717  0.283  0.500

**ΔE_f**: -0.289 eV/atom
**D(E_F)**: 3.6 states/eV/cell
**Space-group type**: C2/m, No. 12

Entry 4:
HoGaRu2 after structural relaxation, computed with GGA-PBE.

abc: 3.253 3.253 6.331
angles: 90.00 90.00 90.00
Element x y z (fractional)
Ho  0.000  0.000  0.000
Ga  0.000  0.000  0.500
Ru  0.500  0.500  0.285
Ru  0.500  0.500  0.715

**ΔE_f**: -0.295 eV/atom
**D(E_F)**: 4.7 states/eV/cell
**Space-group type**: P4/mmm, No. 123

Entry 5:
Ho4GaRu2 after structural relaxation, computed with GGA-PBE.

abc: 8.288 8.288 8.288
angles: 34.05 34.05 34.05
Element x y z (fractional)
Ho  0.119  0.119  0.119
Ho  0.371  0.371  0.371
Ho  0.629  0.629  0.629
Ho  0.881  0.881  0.881
Ga  0.500  0.500  0.500
Ru  0.246  0.246  0.246
Ru  0.754  0.754  0.754

**ΔE_f**: -0.389 eV/atom
**D(E_F)**: 6.0 states/eV/cell
**Space-group type**: R-3m, No. 166
**E above lowest polymorph**: 0.000 eV/atom

Entry 6:
Ho3Ga2Ru after structural relaxation, computed with GGA-PBE.

abc: 11.856 4.275 10.979
angles: 90.00 90.00 90.00
Element x y z (fractional)
Ho  0.052  0.250  0.119
Ho  0.118  0.750  0.556
Ho  0.233  0.250  0.795
Ho  0.267  0.750  0.295
Ho  0.382  0.250  0.056
Ho  0.448  0.750  0.619
Ho  0.552  0.250  0.381
Ho  0.618  0.750  0.944
Ho  0.733  0.250  0.705
Ho  0.767  0.750  0.205
Ho  0.882  0.250  0.444
Ho  0.948  0.750  0.881
Ga  0.008  0.750  0.302
Ga  0.195  0.750  0.997
Ga  0.305  0.250  0.497
Ga  0.492  0.250  0.802
Ga  0.508  0.750  0.198
Ga  0.695  0.750  0.503
Ga  0.805  0.250  0.003
Ga  0.992  0.250  0.698
Ru  0.118  0.250  0.370
Ru  0.382  0.750  0.870
Ru  0.618  0.250  0.130
Ru  0.882  0.750  0.630

**ΔE_f**: -0.535 eV/atom
**D(E_F)**: 20.5 states/eV/cell
**Space-group type**: Pnma, No. 62

Entry 7:
Ho3Ga7Ru2 after structural relaxation, computed with GGA-PBE.

abc: 11.614 11.614 4.629
angles: 90.00 90.00 156.98
Element x y z (fractional)
Ho  0.000  0.000  0.000
Ho  0.182  0.818  0.000
Ho  0.818  0.182  0.000
Ga  0.090  0.910  0.500
Ga  0.280  0.720  0.500
Ga  0.410  0.590  0.000
Ga  0.500  0.500  0.500
Ga  0.590  0.410  0.000
Ga  0.720  0.280  0.500
Ga  0.910  0.090  0.500
Ru  0.390  0.610  0.500
Ru  0.610  0.390  0.500

**ΔE_f**: -0.390 eV/atom
**D(E_F)**: 7.5 states/eV/cell
**Space-group type**: Cmmm, No. 65

Entry 8:
Ho4GaRu2 after structural relaxation, computed with GGA-PBE.

abc: 7.850 7.850 6.456
angles: 105.25 105.25 113.56
Element x y z (fractional)
Ho  0.042  0.958  0.500
Ho  0.324  0.486  0.053
Ho  0.443  0.815  0.654
Ho  0.486  0.324  0.553
Ho  0.632  0.990  0.276
Ho  0.815  0.443  0.154
Ho  0.958  0.042  0.000
Ho  0.990  0.632  0.776
Ga  0.094  0.354  0.506
Ga  0.354  0.094  0.006
Ru  0.231  0.846  0.239
Ru  0.689  0.692  0.987
Ru  0.692  0.689  0.487
Ru  0.846  0.231  0.739

**ΔE_f**: -0.383 eV/atom
**D(E_F)**: 9.8 states/eV/cell
**Space-group type**: Cc, No. 9
**E above lowest polymorph**: 0.006 eV/atom

no.,uncorrected energy (eV/atom)
1,-5.79
2,-4.60
3,-4.59
4,-6.83
5,-6.09
6,-5.38
7,-4.85
8,-6.08